(1)
# Ca3Ag7Hg2

A geometry-optimized Ca3Ag7Hg2 structure (PBE, Alexandria via LeMat-Bulk).

Computed properties:
Energy relative to the elements: -0.18 eV/atom
Relative energy among the computed polymorphs: 63.6 meV per atom

a = 4.180 Å, b = 6.539 Å, c = 11.369 Å
α = 111.07°, β = 90.00°, γ = 90.00°
Sites, in units of the cell vectors:
Ca (0.500, 0.500, 0.000)
Ca (0.500, 0.684, 0.390)
Ca (0.500, 0.316, 0.610)
Ag (0.000, 0.584, 0.817)
Ag (0.000, 0.705, 0.600)
Ag (0.000, 0.000, 0.000)
Ag (0.000, 0.416, 0.183)
Ag (0.500, 0.139, 0.198)
Ag (0.500, 0.861, 0.802)
Ag (0.000, 0.295, 0.400)
Hg (0.000, 0.145, 0.778)
Hg (0.000, 0.855, 0.222)

---

(2)
# CaAg5Hg7

A geometry-optimized CaAg5Hg7 structure (PBE, Alexandria via LeMat-Bulk).

Computed properties:
Energy relative to the elements: -0.06 eV/atom

a = 5.754 Å, b = 7.669 Å, c = 7.669 Å
α = 83.53°, β = 67.97°, γ = 67.97°
Sites, in units of the cell vectors:
Ca (0.999, 0.001, 0.001)
Ag (0.501, 0.996, 0.500)
Ag (0.002, 0.996, 0.500)
Ag (0.501, 0.500, 0.996)
Ag (0.002, 0.500, 0.996)
Ag (0.750, 0.750, 0.750)
Hg (0.642, 0.358, 0.358)
Hg (0.337, 0.663, 0.663)
Hg (0.998, 0.325, 0.679)
Hg (0.998, 0.679, 0.325)
Hg (0.256, 0.244, 0.244)
Hg (0.507, 0.821, 0.166)
Hg (0.507, 0.166, 0.821)

---

(3)
# Ca2Ag2Hg

A geometry-optimized Ca2Ag2Hg structure (PBE, Alexandria via LeMat-Bulk).

Computed properties:
Energy relative to the elements: -0.34 eV/atom
Relative energy among the computed polymorphs: 7.2 meV per atom

a = 4.561 Å, b = 6.137 Å, c = 10.402 Å
α = 80.43°, β = 77.33°, γ = 68.18°
Sites, in units of the cell vectors:
Ca (0.313, 0.265, 0.109)
Ca (0.506, 0.321, 0.667)
Ca (0.687, 0.735, 0.891)
Ca (0.494, 0.679, 0.333)
Ag (0.964, 0.178, 0.893)
Ag (0.134, 0.292, 0.440)
Ag (0.036, 0.822, 0.107)
Ag (0.866, 0.708, 0.560)
Hg (0.788, 0.091, 0.333)
Hg (0.212, 0.909, 0.667)

---

(4)
# CaAg2Hg2

A geometry-optimized CaAg2Hg2 structure (PBE, Alexandria via LeMat-Bulk).

Computed properties:
Energy relative to the elements: -0.12 eV/atom
Relative energy among the computed polymorphs: 125.1 meV per atom

a = 8.145 Å, b = 8.145 Å, c = 3.474 Å
α = 90.00°, β = 90.00°, γ = 90.00°
Sites, in units of the cell vectors:
Ca (0.000, 0.000, 0.000)
Ca (0.500, 0.500, 0.000)
Hg (0.371, 0.871, 0.000)
Hg (0.871, 0.629, 0.000)
Hg (0.629, 0.129, 0.000)
Hg (0.129, 0.371, 0.000)
Ag (0.171, 0.671, 0.500)
Ag (0.671, 0.829, 0.500)
Ag (0.829, 0.329, 0.500)
Ag (0.329, 0.171, 0.500)

---

(5)
# CaAgHg3

A geometry-optimized CaAgHg3 structure (PBE, Alexandria via LeMat-Bulk).

Computed properties:
Energy relative to the elements: -0.26 eV/atom
Relative energy among the computed polymorphs: 39.1 meV per atom

a = 5.016 Å, b = 9.933 Å, c = 9.887 Å
α = 90.00°, β = 90.00°, γ = 90.00°
Sites, in units of the cell vectors:
Ca (0.750, 0.751, 0.003)
Ca (0.250, 0.749, 0.503)
Ca (0.750, 0.251, 0.497)
Ca (0.250, 0.249, 0.997)
Ag (0.250, 0.133, 0.673)
Ag (0.250, 0.633, 0.827)
Ag (0.750, 0.367, 0.173)
Ag (0.750, 0.867, 0.327)
Hg (0.250, 0.560, 0.109)
Hg (0.750, 0.440, 0.891)
Hg (0.250, 0.060, 0.391)
Hg (0.750, 0.940, 0.609)
Hg (0.250, 0.422, 0.630)
Hg (0.750, 0.078, 0.130)
Hg (0.250, 0.922, 0.870)
Hg (0.750, 0.643, 0.674)
Hg (0.250, 0.357, 0.326)
Hg (0.750, 0.143, 0.826)
Hg (0.750, 0.578, 0.370)
Hg (0.250, 0.857, 0.174)

---

(6)
# CaAgHg6

A geometry-optimized CaAgHg6 structure (PBE, Alexandria via LeMat-Bulk).

Computed properties:
Energy relative to the elements: -0.14 eV/atom
Relative energy among the computed polymorphs: 8.5 meV per atom

a = 5.149 Å, b = 6.617 Å, c = 6.617 Å
α = 120.01°, β = 90.00°, γ = 90.00°
Sites, in units of the cell vectors:
Ca (0.500, 0.418, 0.582)
Ag (0.000, 0.081, 0.919)
Hg (0.000, 0.077, 0.414)
Hg (0.000, 0.586, 0.923)
Hg (0.000, 0.588, 0.412)
Hg (0.500, 0.406, 0.077)
Hg (0.500, 0.923, 0.594)
Hg (0.500, 0.922, 0.078)